A plane-wave DFT calculation with PBE-GGA was carried out for a relaxed LiV2Co2 crystal.

Geometry as POSCAR:
```
LiV2Co2
1.0
6.9529 0.0000 0.0000
0.0000 6.9529 0.0000
0.0000 0.0000 2.6147
Li V Co
2 4 4
direct
0.0000 0.0000 0.0000
0.5000 0.5000 0.0000
0.1580 0.3420 0.5000
0.3420 0.8420 0.5000
0.6580 0.1580 0.5000
0.8420 0.6580 0.5000
0.1371 0.6371 0.0000
0.3629 0.1371 0.0000
0.6371 0.8629 0.0000
0.8629 0.3629 0.0000
```

## Properties
energy of formation from the pure elements	-3	meV per atom
crystal system	tetragonal

***

A plane-wave DFT calculation with PBE-GGA was carried out for a relaxed LiVCo crystal.

Geometry as POSCAR:
```
LiVCo
1.0
0.0000 3.0525 4.7932
2.6747 0.0000 4.7932
2.6747 3.0525 0.0000
Li V Co
2 2 2
direct
0.1629 0.8371 0.1629
0.8371 0.1629 0.8371
0.2500 0.2500 0.2500
0.7500 0.7500 0.7500
0.3741 0.3741 0.6259
0.6259 0.6259 0.3741
```

## Properties
energy of formation from the pure elements	206	meV per atom
crystal system	orthorhombic

***

A plane-wave DFT calculation with PBE-GGA was carried out for a relaxed LiCo2W crystal.

Geometry as POSCAR:
```
LiCo2W
1.0
3.1267 0.0000 0.0000
0.0000 3.1267 0.0000
0.0000 0.0000 5.0255
Li Co W
1 2 1
direct
0.0000 0.0000 0.0000
0.0000 0.0000 0.5173
0.5000 0.5000 0.8125
0.5000 0.5000 0.3025
```

## Properties
energy of formation from the pure elements	411	meV per atom
crystal system	tetragonal

***

A plane-wave DFT calculation with PBE-GGA was carried out for a relaxed Li2Co2W crystal.

Geometry as POSCAR:
```
Li2Co2W
1.0
6.6587 0.0000 0.0000
0.0000 6.6587 0.0000
0.0000 0.0000 2.6210
Li Co W
4 4 2
direct
0.1065 0.3935 0.0000
0.3935 0.8935 0.0000
0.6065 0.1065 0.0000
0.8935 0.6065 0.0000
0.1975 0.6975 0.5000
0.3025 0.1975 0.5000
0.6975 0.8025 0.5000
0.8025 0.3025 0.5000
0.0000 0.0000 0.0000
0.5000 0.5000 0.0000
```

## Properties
energy of formation from the pure elements	401	meV per atom
crystal system	tetragonal

***

A plane-wave DFT calculation with PBE-GGA was carried out for a relaxed LiCo2W crystal.

Geometry as POSCAR:
```
LiCo2W
1.0
-1.7424 1.7424 3.8828
1.7424 -1.7424 3.8828
1.7424 1.7424 -3.8828
Li Co W
1 2 1
direct
0.0000 0.0000 0.0000
0.5000 0.5000 0.0000
0.7500 0.2500 0.5000
0.2500 0.7500 0.5000
```

## Properties
energy of formation from the pure elements	237	meV per atom
crystal system	tetragonal

***

A plane-wave DFT calculation with PBE-GGA was carried out for a relaxed LiCoW2 crystal.

Geometry as POSCAR:
```
LiCoW2
1.0
1.5627 -2.1685 0.0000
1.5627 2.1685 0.0000
0.0000 0.0000 8.7190
Li Co W
1 1 2
direct
0.0000 0.0000 0.0000
0.5000 0.5000 0.2370
0.0000 0.0000 0.4653
0.5000 0.5000 0.7258
```

## Properties
energy of formation from the pure elements	290	meV per atom
crystal system	orthorhombic

***

What did we get for Fermi-level density of states? Answer: 9.06, 3.27, 3.61, 9.87, 3.21, 3.63 states/eV/cell, in the order shown.
What did we get for magnetic moment? Answer: 0.00, 0.00, 0.52, 3.08, 0.00, 1.32 μB per cell, in the order shown.